*one*
First-principles (GGA-PBE) data for a geometry-optimized ZnInP2O structure, as listed in Alexandria.

```
ZnInP2O
1.0
5.242 0.000 0.000
0.000 5.242 0.000
0.000 0.000 3.929
Zn In P O
1 1 2 1
direct
0.000 0.000 0.000 Zn
0.500 0.500 0.500 In
0.000 0.500 0.500 P
0.500 0.000 0.500 P
0.500 0.500 0.000 O
```

Output
Crystal system   tetragonal

=====

*two*
First-principles (GGA-PBE) data for a geometry-optimized ZnInP2O structure, as listed in Alexandria.

```
ZnInP2O
1.0
4.940 0.000 0.000
0.000 4.940 0.000
0.000 0.000 3.652
Zn In P O
1 1 2 1
direct
0.000 0.000 0.000 Zn
0.500 0.500 0.500 In
0.000 0.500 0.000 P
0.500 0.000 0.000 P
0.000 0.000 0.500 O
```

Output
Crystal system   tetragonal

=====

Relative to the most stable structure, the computed energies are *one* 330; *two* 0, all in meV/atom.

=====

*one*
First-principles (GGA-PBE) data for a geometry-optimized In3PbO structure, as listed in Alexandria.

```
In3PbO
1.0
4.936 0.000 0.000
0.000 4.936 0.000
0.000 0.000 4.936
In Pb O
3 1 1
direct
0.000 0.000 0.500 In
0.000 0.500 0.000 In
0.500 0.000 0.000 In
0.500 0.500 0.500 Pb
0.000 0.000 0.000 O
```

Output
Crystal system   cubic

=====

*two*
First-principles (GGA-PBE) data for a geometry-optimized In3PbO structure, as listed in Alexandria.

```
In3PbO
1.0
5.877 0.000 0.000
0.000 5.877 0.000
0.000 0.000 5.877
In Pb O
3 1 1
direct
0.000 0.000 0.500 In
0.000 0.500 0.000 In
0.500 0.000 0.000 In
0.000 0.000 0.000 Pb
0.500 0.500 0.500 O
```

Output
Crystal system   cubic

=====

Relative to the most stable structure, the computed energies are *one* 0; *two* 1066, all in meV/atom.

=====

*one*
First-principles (GGA-PBE) data for a geometry-optimized In2PbO4 structure, as listed in Alexandria.

```
In2PbO4
1.0
0.000 4.805 4.805
4.805 0.000 4.805
4.805 4.805 0.000
In Pb O
4 2 8
direct
0.000 0.000 0.000 In
0.000 0.000 0.500 In
0.000 0.500 0.000 In
0.500 0.000 0.000 In
0.375 0.375 0.375 Pb
0.625 0.625 0.625 Pb
0.195 0.768 0.768 O
0.232 0.232 0.232 O
0.232 0.232 0.805 O
0.232 0.805 0.232 O
0.768 0.195 0.768 O
0.768 0.768 0.195 O
0.768 0.768 0.768 O
0.805 0.232 0.232 O
```

Output
Crystal system   cubic

=====

*two*
First-principles (GGA-PBE) data for a geometry-optimized In2PbO4 structure, as listed in Alexandria.

```
In2PbO4
1.0
1.674 -5.469 0.000
1.674 5.469 0.000
0.000 0.000 10.939
In Pb O
4 2 8
direct
0.137 0.863 0.570 In
0.137 0.863 0.930 In
0.863 0.137 0.070 In
0.863 0.137 0.430 In
0.394 0.606 0.750 Pb
0.606 0.394 0.250 Pb
0.056 0.944 0.750 O
0.235 0.765 0.105 O
0.235 0.765 0.395 O
0.500 0.500 0.000 O
0.500 0.500 0.500 O
0.765 0.235 0.605 O
0.765 0.235 0.895 O
0.944 0.056 0.250 O
```

Output
Crystal system   orthorhombic

=====

Relative to the most stable structure, the computed energies are *one* 0; *two* 64, all in meV/atom.

=====

*one*
First-principles (GGA-PBE) data for a geometry-optimized In3PdO structure, as listed in Alexandria.

```
In3PdO
1.0
4.683 0.000 0.000
0.000 4.683 0.000
0.000 0.000 4.683
In Pd O
3 1 1
direct
0.000 0.000 0.500 In
0.000 0.500 0.000 In
0.500 0.000 0.000 In
0.500 0.500 0.500 Pd
0.000 0.000 0.000 O
```

Output
Crystal system   cubic

=====

*two*
First-principles (GGA-PBE) data for a geometry-optimized In3PdO structure, as listed in Alexandria.

```
In3PdO
1.0
5.094 0.000 0.000
0.000 5.094 0.000
0.000 0.000 5.094
In Pd O
3 1 1
direct
0.000 0.000 0.500 In
0.000 0.500 0.000 In
0.500 0.000 0.000 In
0.000 0.000 0.000 Pd
0.500 0.500 0.500 O
```

Output
Crystal system   cubic

=====

Relative to the most stable structure, the computed energies are *one* 0; *two* 280, all in meV/atom.

=====

*one*
First-principles (GGA-PBE) data for a geometry-optimized InPt3O structure, as listed in Alexandria.

```
InPt3O
1.0
4.342 0.000 0.000
0.000 4.342 0.000
0.000 0.000 4.342
In Pt O
1 3 1
direct
0.000 0.000 0.000 In
0.000 0.500 0.500 Pt
0.500 0.000 0.500 Pt
0.500 0.500 0.000 Pt
0.500 0.500 0.500 O
```

Output
Crystal system   cubic

=====

*two*
First-principles (GGA-PBE) data for a geometry-optimized InPt3O structure, as listed in Alexandria.

```
InPt3O
1.0
4.985 0.000 0.000
0.000 4.985 0.000
0.000 0.000 4.985
In Pt O
1 3 1
direct
0.000 0.000 0.000 In
0.000 0.000 0.500 Pt
0.000 0.500 0.000 Pt
0.500 0.000 0.000 Pt
0.500 0.500 0.500 O
```

Output
Crystal system   cubic

=====

Relative to the most stable structure, the computed energies are *one* 0; *two* 1506, all in meV/atom.

=====

*one*
First-principles (GGA-PBE) data for a geometry-optimized In2PtO2 structure, as listed in Alexandria.

```
In2PtO2
1.0
6.840 0.000 0.000
0.000 6.840 0.000
0.000 0.000 2.995
In Pt O
4 2 4
direct
0.172 0.328 0.000 In
0.328 0.828 0.000 In
0.672 0.172 0.000 In
0.828 0.672 0.000 In
0.000 0.000 0.500 Pt
0.500 0.500 0.500 Pt
0.131 0.631 0.500 O
0.369 0.131 0.500 O
0.631 0.869 0.500 O
0.869 0.369 0.500 O
```

Output
Crystal system   tetragonal

=====

*two*
First-principles (GGA-PBE) data for a geometry-optimized In2PtO2 structure, as listed in Alexandria.

```
In2PtO2
1.0
-2.369 2.369 3.636
2.369 -2.369 3.636
2.369 2.369 -3.636
In Pt O
2 1 2
direct
0.250 0.750 0.500 In
0.750 0.250 0.500 In
0.000 0.000 0.000 Pt
0.290 0.290 0.000 O
0.710 0.710 0.000 O
```

Output
Crystal system   tetragonal

=====

Relative to the most stable structure, the computed energies are *one* 137; *two* 0, all in meV/atom.